<i>
First-principles (GGA-PBE) data for an optimized crystal structure of ZnAsH3, as listed in Alexandria via LeMat-Bulk.

Cell lengths 3.782, 3.782, 3.782 Å; angles 90.00, 90.00, 90.00 degrees
Space group Pm-3m (No. 221)
Inequivalent atoms, fractional coordinates:
Zn 0.000 0.000 0.000 x1
As 0.500 0.500 0.500 x1
H 0.000 0.500 0.500 x3

Output
ρ	4401	kg/m³

---

<ii>
First-principles (GGA-PBE) data for an optimized crystal structure of ZnAsH3, as listed in Alexandria via LeMat-Bulk.

Cell lengths 3.623, 3.623, 3.623 Å; angles 90.00, 90.00, 90.00 degrees
Space group Pm-3m (No. 221)
Inequivalent atoms, fractional coordinates:
Zn 0.000 0.000 0.000 x1
As 0.500 0.500 0.500 x1
H 0.000 0.000 0.500 x3

Output
ρ	5006	kg/m³

---

Preferred: <i>; penalty for the next structure: 200 meV per atom.

---

<i>
First-principles (GGA-PBE) data for an optimized crystal structure of ZnAs2H, as listed in Alexandria via LeMat-Bulk.

Cell lengths 4.514, 4.514, 13.365 Å; angles 90.00, 90.00, 90.00 degrees
Space group I-42d (No. 122)
Inequivalent atoms, fractional coordinates:
Zn 0.000 0.000 0.000 x4
As 0.143 0.250 0.625 x8
H 0.000 0.000 0.500 x4

Output
ρ	5274	kg/m³

---

<ii>
First-principles (GGA-PBE) data for an optimized crystal structure of ZnAs2H, as listed in Alexandria via LeMat-Bulk.

Cell lengths 6.186, 6.186, 6.186 Å; angles 90.00, 90.00, 90.00 degrees
Space group Fm-3m (No. 225)
Inequivalent atoms, fractional coordinates:
Zn 0.000 0.000 0.000 x4
As 0.250 0.250 0.250 x8
H 0.000 0.000 0.500 x4

Output
ρ	6069	kg/m³

---

Preferred: <i>; penalty for the next structure: 212 meV per atom.

---

<i>
First-principles (GGA-PBE) data for an optimized crystal structure of Zr2AsH, as listed in Alexandria via LeMat-Bulk.

Cell lengths 5.464, 5.470, 10.464 Å; angles 90.00, 119.99, 90.00 degrees
Space group P2/c (No. 13)
Inequivalent atoms, fractional coordinates:
Zr 0.070 0.248 0.083 x4
Zr 0.330 0.245 0.835 x4
As 0.385 0.259 0.373 x4
H 0.000 0.123 0.625 x4

Output
ρ	6334	kg/m³

---

<ii>
First-principles (GGA-PBE) data for an optimized crystal structure of Zr2AsH, as listed in Alexandria via LeMat-Bulk.

Cell lengths 6.422, 6.422, 6.255 Å; angles 90.00, 90.00, 90.00 degrees
Space group I-42d (No. 122)
Inequivalent atoms, fractional coordinates:
Zr 0.168 0.750 0.125 x8
As 0.000 0.000 0.500 x4
H 0.000 0.000 0.000 x4

Output
ρ	6653	kg/m³

---

Preferred: <ii>; penalty for the next structure: 43 meV per atom.

---

<i>
First-principles (GGA-PBE) data for an optimized crystal structure of Zr2AsH, as listed in Alexandria via LeMat-Bulk.

Cell lengths 6.420, 6.420, 6.420 Å; angles 90.00, 90.00, 90.00 degrees
Space group Fm-3m (No. 225)
Inequivalent atoms, fractional coordinates:
Zr 0.250 0.250 0.250 x8
As 0.000 0.000 0.000 x4
H 0.000 0.000 0.500 x4

Output
ρ	6486	kg/m³

---

<ii>
First-principles (GGA-PBE) data for an optimized crystal structure of Zr2AsH, as listed in Alexandria via LeMat-Bulk.

Cell lengths 3.5554, 3.5554, 18.1442 Å; angles 90.00, 90.00, 120.00 degrees
Space group R-3m (No. 166, hexagonal axes)
Inequivalent atoms, fractional coordinates:
Zr 0.0000 0.0000 0.2380 x6
As 0.0000 0.0000 0.0000 x3
H 0.0000 0.0000 0.5000 x3

Output
ρ	6480	kg/m³

---

Preferred: <ii>; penalty for the next structure: 227 meV per atom.

---

<i>
First-principles (GGA-PBE) data for an optimized crystal structure of Zr2AsH2, as listed in Alexandria via LeMat-Bulk.

Cell lengths 3.373, 3.373, 11.578 Å; angles 90.00, 90.00, 90.00 degrees
Space group I4/mmm (No. 139)
Inequivalent atoms, fractional coordinates:
Zr 0.000 0.000 0.133 x4
As 0.000 0.000 0.500 x2
H 0.000 0.500 0.250 x4

Output
ρ	6540	kg/m³

---

<ii>
First-principles (GGA-PBE) data for an optimized crystal structure of Zr2AsH2, as listed in Alexandria via LeMat-Bulk.

Cell lengths 7.197, 8.280, 9.218 Å; angles 90.00, 90.00, 90.00 degrees
Space group Fddd (No. 70, origin choice 2)
Inequivalent atoms, fractional coordinates:
Zr 0.125 0.125 0.336 x16
As 0.125 0.125 0.625 x8
H 0.125 0.251 0.125 x16

Output
ρ	6274	kg/m³

---

Preferred: <i>; penalty for the next structure: 50 meV per atom.

---

<i>
First-principles (GGA-PBE) data for an optimized crystal structure of ZrAsH3, as listed in Alexandria via LeMat-Bulk.

Cell lengths 3.702, 3.702, 3.702 Å; angles 90.00, 90.00, 90.00 degrees
Space group Pm-3m (No. 221)
Inequivalent atoms, fractional coordinates:
Zr 0.000 0.000 0.000 x1
As 0.500 0.500 0.500 x1
H 0.000 0.500 0.500 x3

Output
ρ	5539	kg/m³

---

<ii>
First-principles (GGA-PBE) data for an optimized crystal structure of ZrAsH3, as listed in Alexandria via LeMat-Bulk.

Cell lengths 3.791, 3.791, 3.791 Å; angles 90.00, 90.00, 90.00 degrees
Space group Pm-3m (No. 221)
Inequivalent atoms, fractional coordinates:
Zr 0.000 0.000 0.000 x1
As 0.500 0.500 0.500 x1
H 0.000 0.000 0.500 x3

Output
ρ	5155	kg/m³

---

Preferred: <ii>; penalty for the next structure: 438 meV per atom.